[1]
# Na3YTh3Te8 PBE optimized geometry
# VASP energy   -226.192 eV for the cell shown
# Mass density   5.9 g/cm3
data_Na3YTh3Te8
_symmetry_space_group_name_H-M 'R -3 m'
_symmetry_Int_Tables_number 166
_symmetry_space_group_name_Hall '-R 3 2"'
_cell_length_a 8.8269
_cell_length_b 8.8269
_cell_length_c 23.3022
_cell_angle_alpha 90.00
_cell_angle_beta 90.00
_cell_angle_gamma 120.00
loop_
_atom_site_label
_atom_site_type_symbol
_atom_site_fract_x
_atom_site_fract_y
_atom_site_fract_z
Na1 Na 0.0000 0.5000 0.0000
Y1 Y 0.0000 0.0000 0.5000
Th1 Th 0.0000 0.5000 0.5000
Te1 Te 0.0000 0.0000 0.2488
Te2 Te 0.0026 0.5013 0.2458

[2]
# NaY2Th3Te6 PBE optimized geometry
# VASP energy   -138.035 eV for the cell shown
# Mass density   7.5 g/cm3
data_NaY2Th3Te6
_symmetry_space_group_name_H-M 'C 1 2/m 1'
_symmetry_Int_Tables_number 12
_symmetry_space_group_name_Hall '-C 2y'
_cell_length_a 19.9101
_cell_length_b 4.2321
_cell_length_c 9.2935
_cell_angle_alpha 90.00
_cell_angle_beta 110.13
_cell_angle_gamma 90.00
loop_
_atom_site_label
_atom_site_type_symbol
_atom_site_fract_x
_atom_site_fract_y
_atom_site_fract_z
Na1 Na 0.0000 0.0000 0.0000
Y1 Y 0.1682 0.5000 0.3374
Th1 Th 0.0000 0.0000 0.5000
Th2 Th 0.1683 0.5000 0.8368
Te1 Te 0.0028 0.5000 0.2445
Te2 Te 0.1621 0.0000 0.0912
Te3 Te 0.1688 0.0000 0.5783

[3]
# Na4YTh3Te8 PBE optimized geometry
# VASP energy   -232.606 eV for the cell shown
# Mass density   6.0 g/cm3
data_Na4YTh3Te8
_symmetry_space_group_name_H-M 'R -3 m'
_symmetry_Int_Tables_number 166
_symmetry_space_group_name_Hall '-R 3 2"'
_cell_length_a 8.7885
_cell_length_b 8.7885
_cell_length_c 23.4089
_cell_angle_alpha 90.00
_cell_angle_beta 90.00
_cell_angle_gamma 120.00
loop_
_atom_site_label
_atom_site_type_symbol
_atom_site_fract_x
_atom_site_fract_y
_atom_site_fract_z
Na1 Na 0.0000 0.0000 0.0000
Na2 Na 0.0000 0.5000 0.0000
Y1 Y 0.0000 0.0000 0.5000
Th1 Th 0.0000 0.5000 0.5000
Te1 Te 0.0000 0.0000 0.2490
Te2 Te 0.0054 0.5027 0.2470

[4]
# NaYTh2Te4 PBE optimized geometry
# VASP energy   -44.229 eV for the cell shown
# Mass density   7.3 g/cm3
data_NaYTh2Te4
_symmetry_space_group_name_H-M 'P 1 2/m 1'
_symmetry_Int_Tables_number 10
_symmetry_space_group_name_Hall '-P 2y'
_cell_length_a 7.4008
_cell_length_b 4.2368
_cell_length_c 8.2172
_cell_angle_alpha 90.00
_cell_angle_beta 106.87
_cell_angle_gamma 90.00
loop_
_atom_site_label
_atom_site_type_symbol
_atom_site_fract_x
_atom_site_fract_y
_atom_site_fract_z
Na1 Na 0.0000 0.0000 0.0000
Y1 Y 0.5000 0.5000 0.0000
Th1 Th 0.0000 0.5000 0.5000
Th2 Th 0.5000 0.0000 0.5000
Te1 Te 0.2473 0.5000 0.2395
Te2 Te 0.2523 0.0000 0.7632

[5]
# Na4Th3ZrTe8 PBE optimized geometry
# VASP energy   -233.911 eV for the cell shown
# Mass density   6.2 g/cm3
data_Na4Th3ZrTe8
_symmetry_space_group_name_H-M 'R -3 m'
_symmetry_Int_Tables_number 166
_symmetry_space_group_name_Hall '-R 3 2"'
_cell_length_a 8.6302
_cell_length_b 8.6302
_cell_length_c 23.6866
_cell_angle_alpha 90.00
_cell_angle_beta 90.00
_cell_angle_gamma 120.00
loop_
_atom_site_label
_atom_site_type_symbol
_atom_site_fract_x
_atom_site_fract_y
_atom_site_fract_z
Na1 Na 0.0000 0.0000 0.0000
Na2 Na 0.0000 0.5000 0.0000
Th1 Th 0.0000 0.5000 0.5000
Zr1 Zr 0.0000 0.0000 0.5000
Te1 Te 0.0000 0.0000 0.2497
Te2 Te 0.0150 0.5075 0.2457

[6]
# Na3ThZr2Te6 PBE optimized geometry
# VASP energy   -117.966 eV for the cell shown
# Mass density   5.8 g/cm3
data_Na3ThZr2Te6
_symmetry_space_group_name_H-M 'C 1 2/m 1'
_symmetry_Int_Tables_number 12
_symmetry_space_group_name_Hall '-C 2y'
_cell_length_a 7.2370
_cell_length_b 12.6107
_cell_length_c 8.2546
_cell_angle_alpha 90.00
_cell_angle_beta 107.23
_cell_angle_gamma 90.00
loop_
_atom_site_label
_atom_site_type_symbol
_atom_site_fract_x
_atom_site_fract_y
_atom_site_fract_z
Na1 Na 0.0000 0.0000 0.0000
Na2 Na 0.0000 0.3412 0.0000
Th1 Th 0.0000 0.5000 0.5000
Zr1 Zr 0.0000 0.1701 0.5000
Te1 Te 0.2250 0.0000 0.7291
Te2 Te 0.2463 0.1748 0.2667

[7]
# Na3TiTe3 PBE optimized geometry
# VASP energy   -107.396 eV for the cell shown
# Mass density   3.7 g/cm3
data_Na3TiTe3
_symmetry_space_group_name_H-M 'C 1 2/m 1'
_symmetry_Int_Tables_number 12
_symmetry_space_group_name_Hall '-C 2y'
_cell_length_a 8.6837
_cell_length_b 13.5517
_cell_length_c 7.9552
_cell_angle_alpha 90.00
_cell_angle_beta 103.98
_cell_angle_gamma 90.00
loop_
_atom_site_label
_atom_site_type_symbol
_atom_site_fract_x
_atom_site_fract_y
_atom_site_fract_z
Na1 Na 0.0000 0.1650 0.0000
Na2 Na 0.0000 0.2562 0.5000
Na3 Na 0.0865 0.5000 0.8582
Ti1 Ti 0.1529 0.0000 0.6379
Te1 Te 0.1352 0.0000 0.2982
Te2 Te 0.1965 0.3386 0.2246

[8]
# NaTiTe4 PBE optimized geometry
# VASP energy   -98.193 eV for the cell shown
# Mass density   5.4 g/cm3
data_NaTiTe4
_symmetry_space_group_name_H-M 'C 1 2/c 1'
_symmetry_Int_Tables_number 15
_symmetry_space_group_name_Hall '-C 2yc'
_cell_length_a 7.6958
_cell_length_b 13.0853
_cell_length_c 7.2221
_cell_angle_alpha 90.00
_cell_angle_beta 100.82
_cell_angle_gamma 90.00
loop_
_atom_site_label
_atom_site_type_symbol
_atom_site_fract_x
_atom_site_fract_y
_atom_site_fract_z
Na1 Na 0.0000 0.1232 0.2500
Ti1 Ti 0.0000 0.5000 0.2500
Te1 Te 0.0797 0.3249 0.5097
Te2 Te 0.2363 0.0753 0.9430

[9]
# Na3Ti2Te4 PBE optimized geometry
# VASP energy   -153.955 eV for the cell shown
# Mass density   4.0 g/cm3
data_Na3Ti2Te4
_symmetry_space_group_name_H-M 'C 1 2/c 1'
_symmetry_Int_Tables_number 15
_symmetry_space_group_name_Hall '-C 2yc'
_cell_length_a 13.8034
_cell_length_b 10.7699
_cell_length_c 7.6091
_cell_angle_alpha 90.00
_cell_angle_beta 93.84
_cell_angle_gamma 90.00
loop_
_atom_site_label
_atom_site_type_symbol
_atom_site_fract_x
_atom_site_fract_y
_atom_site_fract_z
Na1 Na 0.0000 0.1026 0.2500
Na2 Na 0.1307 0.3783 0.6012
Ti1 Ti 0.2078 0.1370 0.9388
Te1 Te 0.0968 0.3289 0.0251
Te2 Te 0.1647 0.0824 0.5925

[10]
# NaTi2Te PBE optimized geometry
# VASP energy   -74.873 eV for the cell shown
# Mass density   4.5 g/cm3
data_NaTi2Te
_symmetry_space_group_name_H-M 'I -4 2 d'
_symmetry_Int_Tables_number 122
_symmetry_space_group_name_Hall 'I -4 2bw'
_cell_length_a 7.9232
_cell_length_b 7.9232
_cell_length_c 5.7459
_cell_angle_alpha 90.00
_cell_angle_beta 90.00
_cell_angle_gamma 90.00
loop_
_atom_site_label
_atom_site_type_symbol
_atom_site_fract_x
_atom_site_fract_y
_atom_site_fract_z
Na1 Na 0.0000 0.0000 0.0000
Ti1 Ti 0.2175 0.2500 0.6250
Te1 Te 0.0000 0.0000 0.5000

[11]
# NaTi3Te6 PBE optimized geometry
# VASP energy   -100.631 eV for the cell shown
# Mass density   5.4 g/cm3
data_NaTi3Te6
_symmetry_space_group_name_H-M 'P 1 21/m 1'
_symmetry_Int_Tables_number 11
_symmetry_space_group_name_Hall '-P 2yb'
_cell_length_a 10.7894
_cell_length_b 3.8260
_cell_length_c 14.2292
_cell_angle_alpha 90.00
_cell_angle_beta 104.47
_cell_angle_gamma 90.00
loop_
_atom_site_label
_atom_site_type_symbol
_atom_site_fract_x
_atom_site_fract_y
_atom_site_fract_z
Na1 Na 0.2393 0.2500 0.1945
Ti1 Ti 0.1611 0.7500 0.8247
Ti2 Ti 0.4104 0.7500 0.5674
Ti3 Ti 0.4265 0.2500 0.9111
Te1 Te 0.0063 0.2500 0.8827
Te2 Te 0.0737 0.2500 0.6808
Te3 Te 0.2165 0.2500 0.5295
Te4 Te 0.3186 0.7500 0.0117
Te5 Te 0.3924 0.7500 0.7666
Te6 Te 0.3950 0.7500 0.3721

[12]
# Na3TiTe PBE optimized geometry
# Offset from the most stable computed form   0 meV per atom
# VASP energy   -13.021 eV for the cell shown
# Mass density   2.0 g/cm3
data_Na3TiTe
_symmetry_space_group_name_H-M 'P m -3 m'
_symmetry_Int_Tables_number 221
_symmetry_space_group_name_Hall '-P 4 2 3'
_cell_length_a 5.8738
_cell_length_b 5.8738
_cell_length_c 5.8738
_cell_angle_alpha 90.00
_cell_angle_beta 90.00
_cell_angle_gamma 90.00
loop_
_atom_site_label
_atom_site_type_symbol
_atom_site_fract_x
_atom_site_fract_y
_atom_site_fract_z
Na1 Na 0.0000 0.0000 0.5000
Ti1 Ti 0.5000 0.5000 0.5000
Te1 Te 0.0000 0.0000 0.0000

[13]
# NaTiTe PBE optimized geometry
# VASP energy   -28.101 eV for the cell shown
# Mass density   4.7 g/cm3
data_NaTiTe
_symmetry_space_group_name_H-M 'P 4/n m m'
_symmetry_Int_Tables_number 129
_cell_length_a 4.1524
_cell_length_b 4.1524
_cell_length_c 8.1349
_cell_angle_alpha 90.00
_cell_angle_beta 90.00
_cell_angle_gamma 90.00
loop_
_symmetry_equiv_pos_as_xyz
'x,y,z'
'-x,-y,-z'
'-y+1/2,x,z'
'y+1/2,-x,-z'
'-x+1/2,-y+1/2,z'
'x+1/2,y+1/2,-z'
'y,-x+1/2,z'
'-y,x+1/2,-z'
'x+1/2,-y,-z'
'-x+1/2,y,z'
'-y,-x,-z'
'y,x,z'
'-x,y+1/2,-z'
'x,-y+1/2,z'
'y+1/2,x+1/2,-z'
'-y+1/2,-x+1/2,z'
loop_
_atom_site_label
_atom_site_type_symbol
_atom_site_fract_x
_atom_site_fract_y
_atom_site_fract_z
Na1 Na 0.2500 0.2500 0.1478
Ti1 Ti 0.2500 0.7500 0.5000
Te1 Te 0.2500 0.2500 0.7407

[14]
# NaTi3Te3 PBE optimized geometry
# VASP energy   -77.666 eV for the cell shown
# Mass density   4.9 g/cm3
data_NaTi3Te3
_symmetry_space_group_name_H-M 'P 63/m'
_symmetry_Int_Tables_number 176
_symmetry_space_group_name_Hall '-P 6c'
_cell_length_a 9.4351
_cell_length_b 9.4351
_cell_length_c 4.7929
_cell_angle_alpha 90.00
_cell_angle_beta 90.00
_cell_angle_gamma 120.00
loop_
_atom_site_label
_atom_site_type_symbol
_atom_site_fract_x
_atom_site_fract_y
_atom_site_fract_z
Na1 Na 0.3333 0.6667 0.2500
Ti1 Ti 0.0509 0.2003 0.2500
Te1 Te 0.0943 0.3856 0.7500

[15]
# Na3TiTe PBE optimized geometry
# Offset from the most stable computed form   384 meV per atom
# VASP energy   -11.099 eV for the cell shown
# Mass density   2.1 g/cm3
data_Na3TiTe
_symmetry_space_group_name_H-M 'P m -3 m'
_symmetry_Int_Tables_number 221
_symmetry_space_group_name_Hall '-P 4 2 3'
_cell_length_a 5.7882
_cell_length_b 5.7882
_cell_length_c 5.7882
_cell_angle_alpha 90.00
_cell_angle_beta 90.00
_cell_angle_gamma 90.00
loop_
_atom_site_label
_atom_site_type_symbol
_atom_site_fract_x
_atom_site_fract_y
_atom_site_fract_z
Na1 Na 0.0000 0.0000 0.5000
Ti1 Ti 0.0000 0.0000 0.0000
Te1 Te 0.5000 0.5000 0.5000

[16]
# Na3TiTe4 PBE optimized geometry
# VASP energy   -60.112 eV for the cell shown
# Mass density   4.6 g/cm3
data_Na3TiTe4
_symmetry_space_group_name_H-M 'C m m m'
_symmetry_Int_Tables_number 65
_symmetry_space_group_name_Hall '-C 2 2'
_cell_length_a 10.2601
_cell_length_b 12.4420
_cell_length_c 3.5717
_cell_angle_alpha 90.00
_cell_angle_beta 90.00
_cell_angle_gamma 90.00
loop_
_atom_site_label
_atom_site_type_symbol
_atom_site_fract_x
_atom_site_fract_y
_atom_site_fract_z
Na1 Na 0.0000 0.0000 0.0000
Na2 Na 0.2500 0.2500 0.5000
Ti1 Ti 0.0000 0.5000 0.0000
Te1 Te 0.0000 0.2653 0.0000
Te2 Te 0.2077 0.5000 0.5000

[17]
# Na2Ti3Te8 PBE optimized geometry
# VASP energy   -118.946 eV for the cell shown
# Mass density   4.8 g/cm3
data_Na2Ti3Te8
_symmetry_space_group_name_H-M 'C 1 2/m 1'
_symmetry_Int_Tables_number 12
_symmetry_space_group_name_Hall '-C 2y'
_cell_length_a 16.7595
_cell_length_b 7.7700
_cell_length_c 6.5989
_cell_angle_alpha 90.00
_cell_angle_beta 104.70
_cell_angle_gamma 90.00
loop_
_atom_site_label
_atom_site_type_symbol
_atom_site_fract_x
_atom_site_fract_y
_atom_site_fract_z
Na1 Na 0.2464 0.0000 0.1609
Ti1 Ti 0.0000 0.2455 0.5000
Ti2 Ti 0.0000 0.5000 0.0000
Te1 Te 0.0973 0.0000 0.3888
Te2 Te 0.1030 0.2573 0.8971
Te3 Te 0.1042 0.5000 0.4003

[18]
# Na2TiTe4 PBE optimized geometry
# VASP energy   -52.498 eV for the cell shown
# Mass density   4.3 g/cm3
data_Na2TiTe4
_symmetry_space_group_name_H-M 'I 4/m m m'
_symmetry_Int_Tables_number 139
_symmetry_space_group_name_Hall '-I 4 2'
_cell_length_a 5.4851
_cell_length_b 5.4851
_cell_length_c 15.4873
_cell_angle_alpha 90.00
_cell_angle_beta 90.00
_cell_angle_gamma 90.00
loop_
_atom_site_label
_atom_site_type_symbol
_atom_site_fract_x
_atom_site_fract_y
_atom_site_fract_z
Na1 Na 0.0000 0.0000 0.1289
Ti1 Ti 0.0000 0.0000 0.5000
Te1 Te 0.0000 0.0000 0.3268
Te2 Te 0.0000 0.5000 0.0000

[19]
# Na3Tm2TiTe6 PBE optimized geometry
# VASP energy   -105.632 eV for the cell shown
# Mass density   5.6 g/cm3
data_Na3Tm2TiTe6
_symmetry_space_group_name_H-M 'C 1 2/m 1'
_symmetry_Int_Tables_number 12
_symmetry_space_group_name_Hall '-C 2y'
_cell_length_a 7.4216
_cell_length_b 12.8628
_cell_length_c 7.9602
_cell_angle_alpha 90.00
_cell_angle_beta 108.17
_cell_angle_gamma 90.00
loop_
_atom_site_label
_atom_site_type_symbol
_atom_site_fract_x
_atom_site_fract_y
_atom_site_fract_z
Na1 Na 0.0000 0.0000 0.0000
Na2 Na 0.0000 0.3277 0.0000
Tm1 Tm 0.0000 0.1661 0.5000
Ti1 Ti 0.0000 0.5000 0.5000
Te1 Te 0.2329 0.3414 0.7232
Te2 Te 0.2412 0.5000 0.2766

[20]
# Na3Tm3TiTe8 PBE optimized geometry
# VASP energy   -202.023 eV for the cell shown
# Mass density   5.6 g/cm3
data_Na3Tm3TiTe8
_symmetry_space_group_name_H-M 'R -3 m'
_symmetry_Int_Tables_number 166
_symmetry_space_group_name_Hall '-R 3 2"'
_cell_length_a 8.5515
_cell_length_b 8.5515
_cell_length_c 23.1260
_cell_angle_alpha 90.00
_cell_angle_beta 90.00
_cell_angle_gamma 120.00
loop_
_atom_site_label
_atom_site_type_symbol
_atom_site_fract_x
_atom_site_fract_y
_atom_site_fract_z
Na1 Na 0.0000 0.5000 0.0000
Tm1 Tm 0.0000 0.5000 0.5000
Ti1 Ti 0.0000 0.0000 0.5000
Te1 Te 0.0000 0.0000 0.2437
Te2 Te 0.0196 0.5098 0.2389